{"formula": "BaBeFe2", "functional": "GGA-PBE", "state": "optimized geometry", "mass_density_g_cm3": 5.4, "delta_e_f_ev_per_fu": 2.43, "magnetic_moment_mub_per_cell": 4.88, "sg": "P2/m", "lattice": [[3.852, 0.000, 0.000], [0.000, 3.303, 0.115], [0.000, 1.117, 6.286]], "species": ["Be", "Ba", "Fe", "Fe"], "fractional_positions": [[0.500, 0.750, 0.750], [0.500, 0.250, 0.250], [0.000, 0.960, 0.876], [0.000, 0.540, 0.624]]}

***

{"formula": "BaBe2Fe", "functional": "GGA-PBE", "state": "optimized geometry", "mass_density_g_cm3": 4.3, "delta_e_f_ev_per_fu": 5.19, "magnetic_moment_mub_per_cell": 2.53, "e_above_lowest_polymorph_mev_per_atom": 997.2, "sg": "P4/mmm", "lattice": [[4.415, 0.000, 0.000], [0.000, 4.302, 0.000], [0.000, 0.000, 4.302]], "species": ["Be", "Be", "Ba", "Fe"], "fractional_positions": [[0.000, 0.000, 0.000], [0.000, 0.500, 0.500], [0.500, 0.000, 0.500], [0.500, 0.500, 0.000]]}

***

{"formula": "BaBe2Fe", "functional": "GGA-PBE", "state": "optimized geometry", "mass_density_g_cm3": 5.3, "delta_e_f_ev_per_fu": 1.93, "magnetic_moment_mub_per_cell": 1.52, "e_above_lowest_polymorph_mev_per_atom": 184.5, "sg": "P4/mmm", "lattice": [[-2.611, -1.464, 0.509], [0.764, -2.083, -2.073], [3.169, -3.887, 5.074]], "species": ["Be", "Be", "Ba", "Fe"], "fractional_positions": [[0.000, 0.000, 0.107], [0.000, 0.000, 0.393], [0.500, 0.500, 0.750], [0.500, 0.500, 0.250]]}

***

{"formula": "BaBeFe2", "functional": "GGA-PBE", "state": "optimized geometry", "mass_density_g_cm3": 4.9, "delta_e_f_ev_per_fu": 3.27, "magnetic_moment_mub_per_cell": 4.42, "sg": "Imm2", "lattice": [[-1.347, 0.779, 4.879], [4.823, -0.699, 1.575], [-2.256, 3.491, -2.992]], "species": ["Be", "Ba", "Fe", "Fe"], "fractional_positions": [[0.857, 0.357, 0.500], [0.501, 0.501, 0.000], [0.988, 0.988, 0.000], [0.154, 0.654, 0.500]]}

***

{"formula": "BaBeFe4", "functional": "GGA-PBE", "state": "optimized geometry", "mass_density_g_cm3": 6.4, "delta_e_f_ev_per_fu": 4.05, "magnetic_moment_mub_per_cell": 9.83, "sg": "F-43m", "lattice": [[0.000, 3.627, 3.627], [3.627, 0.000, 3.627], [3.627, 3.627, 0.000]], "species": ["Ba", "Be", "Fe", "Fe", "Fe", "Fe"], "fractional_positions": [[0.750, 0.750, 0.750], [0.000, 0.000, 0.000], [0.887, 0.371, 0.371], [0.371, 0.371, 0.887], [0.371, 0.887, 0.371], [0.371, 0.371, 0.371]]}

***

{"formula": "BaBe4Fe", "functional": "GGA-PBE", "state": "optimized geometry", "mass_density_g_cm3": 4.5, "delta_e_f_ev_per_fu": 3.95, "magnetic_moment_mub_per_cell": 2.03, "sg": "F-43m", "lattice": [[1.824, 0.437, 4.550], [0.374, 4.442, 2.085], [-2.965, 1.224, 3.732]], "species": ["Ba", "Be", "Be", "Be", "Be", "Fe"], "fractional_positions": [[0.000, 0.000, 0.000], [0.847, 0.384, 0.384], [0.384, 0.384, 0.847], [0.384, 0.847, 0.384], [0.384, 0.384, 0.384], [0.750, 0.750, 0.750]]}

***

{"formula": "BaBe3Fe", "functional": "GGA-PBE", "state": "optimized geometry", "mass_density_g_cm3": 4.3, "delta_e_f_ev_per_fu": 2.47, "magnetic_moment_mub_per_cell": 0.00, "e_above_lowest_polymorph_mev_per_atom": 0.0, "sg": "Pm-3m", "lattice": [[-4.007, -1.501, -1.030], [1.779, -3.758, -1.445], [-0.387, -1.731, 4.028]], "species": ["Be", "Be", "Be", "Ba", "Fe"], "fractional_positions": [[0.000, 0.500, 0.000], [0.000, 0.000, 0.500], [0.500, 0.000, 0.000], [0.500, 0.500, 0.500], [0.000, 0.000, 0.000]]}

***

{"formula": "BaBe2Fe", "functional": "GGA-PBE", "state": "optimized geometry", "mass_density_g_cm3": 4.9, "delta_e_f_ev_per_fu": 4.68, "magnetic_moment_mub_per_cell": 2.56, "e_above_lowest_polymorph_mev_per_atom": 870.2, "sg": "P4/mmm", "lattice": [[4.951, 0.000, 0.000], [0.000, 4.951, 0.000], [0.000, 0.000, 2.941]], "species": ["Be", "Be", "Ba", "Fe"], "fractional_positions": [[0.000, 0.000, 0.000], [0.500, 0.500, 0.000], [0.000, 0.500, 0.500], [0.500, 0.000, 0.500]]}

***

{"formula": "BaBe2Fe", "functional": "GGA-PBE", "state": "optimized geometry", "mass_density_g_cm3": 4.8, "delta_e_f_ev_per_fu": 5.09, "magnetic_moment_mub_per_cell": 2.19, "e_above_lowest_polymorph_mev_per_atom": 972.8, "sg": "Pmmm", "lattice": [[3.180, 0.000, 0.000], [0.000, 4.656, 0.000], [0.000, 0.000, 4.946]], "species": ["Be", "Be", "Ba", "Fe"], "fractional_positions": [[0.000, 0.000, 0.000], [0.500, 0.500, 0.000], [0.000, 0.500, 0.500], [0.500, 0.000, 0.500]]}

***

{"formula": "BaBeFe2", "functional": "GGA-PBE", "state": "optimized geometry", "mass_density_g_cm3": 6.1, "delta_e_f_ev_per_fu": 2.48, "magnetic_moment_mub_per_cell": 4.58, "sg": "P4/mmm", "lattice": [[3.144, 0.000, 0.000], [0.000, 3.144, 0.000], [0.000, 0.000, 7.106]], "species": ["Be", "Ba", "Fe", "Fe"], "fractional_positions": [[0.500, 0.500, 0.750], [0.500, 0.500, 0.250], [0.000, 0.000, 0.901], [0.000, 0.000, 0.599]]}

***

{"formula": "BaBeFe2", "functional": "GGA-PBE", "state": "optimized geometry", "mass_density_g_cm3": 6.2, "delta_e_f_ev_per_fu": 4.84, "magnetic_moment_mub_per_cell": 3.48, "sg": "P4/mmm", "lattice": [[3.966, 0.000, 0.000], [0.000, 4.172, 0.000], [0.000, 0.000, 4.172]], "species": ["Be", "Ba", "Fe", "Fe"], "fractional_positions": [[0.500, 0.000, 0.500], [0.500, 0.500, 0.000], [0.000, 0.000, 0.000], [0.000, 0.500, 0.500]]}

***

{"formula": "BaBe2Fe", "functional": "GGA-PBE", "state": "optimized geometry", "mass_density_g_cm3": 4.6, "delta_e_f_ev_per_fu": 1.22, "magnetic_moment_mub_per_cell": 1.79, "e_above_lowest_polymorph_mev_per_atom": 6.2, "sg": "R-3m", "lattice": [[6.189, 0.001, 0.000], [4.943, 3.724, 0.000], [4.943, 1.654, 3.337]], "species": ["Be", "Be", "Ba", "Fe"], "fractional_positions": [[0.929, 0.929, 0.929], [0.571, 0.571, 0.571], [0.750, 0.750, 0.750], [0.250, 0.250, 0.250]]}